Here is a relaxed structure of Mg2MnMo from Alexandria via LeMat-Bulk. Energies are from GGA-PBE. Values from VASP.

The structure in Quantum ESPRESSO input format:
```
&SYSTEM
  ibrav = 0, nat = 4, ntyp = 3
/
ATOMIC_SPECIES
Mg 24.30 Mg.upf
Mn 54.94 Mn.upf
Mo 95.94 Mo.upf
CELL_PARAMETERS angstrom
2.7149 -4.7215 0.0000
2.7149 4.7215 0.0000
-0.8320 0.0000 2.5999
ATOMIC_POSITIONS angstrom
Mg 1.3575 2.3607 0.0000
Mg 1.3575 -2.3607 0.0000
Mn -0.4160 0.0000 1.3000
Mo 2.2989 0.0000 1.3000
```

Values from the calculation:
Volume (Å³/cell): 66.7
ΔE_f (kJ/mol of atoms): 35.8
N(E_F) (states/eV per cell): 3.4
Space group: C2/m (12)
Total DFT energy (no corrections) (eV/atom): -5.43